## MgZn4Au (PBE)

Data for a relaxed MgZn4Au crystal.

Energy relative to the elements = -0.14 eV per atom
Spin magnetization = 0.0000 μB per atom

The structure in CIF format:
```
data_MgZn4Au
_cell_length_a 3.3704
_cell_length_b 7.7401
_cell_length_c 8.0376
_cell_angle_alpha 90.00
_cell_angle_beta 102.10
_cell_angle_gamma 90.00
_symmetry_space_group_name_H-M 'P 1'
_symmetry_Int_Tables_number 1
_symmetry_space_group_name_Hall 'P 1'
loop_
_atom_site_label
_atom_site_type_symbol
_atom_site_fract_x
_atom_site_fract_y
_atom_site_fract_z
Mg1 Mg 0.1070 0.2500 0.2141
Mg2 Mg 0.8930 0.7500 0.7859
Zn1 Zn 0.5000 0.5000 0.0000
Zn2 Zn 0.5000 0.0000 0.0000
Zn3 Zn 0.6645 0.9568 0.3289
Zn4 Zn 0.3355 0.0432 0.6711
Zn5 Zn 0.3355 0.4568 0.6711
Zn6 Zn 0.6645 0.5432 0.3289
Zn7 Zn 0.0689 0.7500 0.1378
Zn8 Zn 0.9311 0.2500 0.8622
Au1 Au 0.2500 0.7500 0.5000
Au2 Au 0.7500 0.2500 0.5000
```

## Mg4ZnAu (PBE)

Data for a relaxed Mg4ZnAu crystal.

Energy relative to the elements = -0.19 eV per atom
Spin magnetization = 0.0000 μB per atom

The structure in CIF format:
```
data_Mg4ZnAu
_cell_length_a 4.6046
_cell_length_b 4.6048
_cell_length_c 6.3644
_cell_angle_alpha 89.97
_cell_angle_beta 90.00
_cell_angle_gamma 90.00
_symmetry_space_group_name_H-M 'P 1'
_symmetry_Int_Tables_number 1
_symmetry_space_group_name_Hall 'P 1'
loop_
_atom_site_label
_atom_site_type_symbol
_atom_site_fract_x
_atom_site_fract_y
_atom_site_fract_z
Mg1 Mg 0.5014 0.9972 0.2498
Mg2 Mg 0.5013 0.9974 0.7463
Mg3 Mg 0.0013 0.4972 0.7463
Mg4 Mg 0.0013 0.4973 0.2498
Zn1 Zn 0.5013 0.4973 0.9984
Au1 Au 0.0012 0.9974 0.4982
```

## Mg2Zn15Au2 (PBE)

Data for a relaxed Mg2Zn15Au2 crystal.

Energy relative to the elements = -0.07 eV per atom
Spin magnetization = 0.0000 μB per atom

The structure in CIF format:
```
data_Mg2Zn15Au2
_cell_length_a 6.7976
_cell_length_b 6.7976
_cell_length_c 6.7976
_cell_angle_alpha 83.86
_cell_angle_beta 83.86
_cell_angle_gamma 83.86
_symmetry_space_group_name_H-M 'P 1'
_symmetry_Int_Tables_number 1
_symmetry_space_group_name_Hall 'P 1'
loop_
_atom_site_label
_atom_site_type_symbol
_atom_site_fract_x
_atom_site_fract_y
_atom_site_fract_z
Mg1 Mg 0.3423 0.3423 0.3423
Mg2 Mg 0.6577 0.6577 0.6577
Zn1 Zn 0.5000 0.0000 0.0000
Zn2 Zn 0.0000 0.0000 0.5000
Zn3 Zn 0.0000 0.5000 0.0000
Zn4 Zn 0.0000 0.7004 0.2996
Zn5 Zn 0.7004 0.2996 0.0000
Zn6 Zn 0.2996 0.0000 0.7004
Zn7 Zn 0.2996 0.7004 0.0000
Zn8 Zn 0.7004 0.0000 0.2996
Zn9 Zn 0.0000 0.2996 0.7004
Zn10 Zn 0.1634 0.6424 0.6424
Zn11 Zn 0.6424 0.6424 0.1634
Zn12 Zn 0.6424 0.1634 0.6424
Zn13 Zn 0.8366 0.3576 0.3576
Zn14 Zn 0.3576 0.3576 0.8366
Zn15 Zn 0.3576 0.8366 0.3576
Au1 Au 0.1195 0.1195 0.1195
Au2 Au 0.8805 0.8805 0.8805
```

## MgZnAu2 (PBE)

Data for a relaxed MgZnAu2 crystal.

Energy relative to the elements = -0.12 eV per atom
Spin magnetization = 0.0000 μB per atom

The structure in CIF format:
```
data_MgZnAu2
_cell_length_a 9.0523
_cell_length_b 9.0523
_cell_length_c 9.0523
_cell_angle_alpha 19.50
_cell_angle_beta 19.50
_cell_angle_gamma 19.50
_symmetry_space_group_name_H-M 'P 1'
_symmetry_Int_Tables_number 1
_symmetry_space_group_name_Hall 'P 1'
loop_
_atom_site_label
_atom_site_type_symbol
_atom_site_fract_x
_atom_site_fract_y
_atom_site_fract_z
Au1 Au 0.0042 0.0042 0.0042
Au2 Au 0.2476 0.2476 0.2476
Mg1 Mg 0.5008 0.5008 0.5008
Zn1 Zn 0.7474 0.7474 0.7474
```

## Mg8Zn2Au (PBE)

Data for a relaxed Mg8Zn2Au crystal.

Energy relative to the elements = -0.16 eV per atom
Spin magnetization = 0.0000 μB per atom

The structure in CIF format:
```
data_Mg8Zn2Au
_cell_length_a 4.6240
_cell_length_b 6.5446
_cell_length_c 8.3354
_cell_angle_alpha 111.14
_cell_angle_beta 106.10
_cell_angle_gamma 90.00
_symmetry_space_group_name_H-M 'P 1'
_symmetry_Int_Tables_number 1
_symmetry_space_group_name_Hall 'P 1'
loop_
_atom_site_label
_atom_site_type_symbol
_atom_site_fract_x
_atom_site_fract_y
_atom_site_fract_z
Mg1 Mg 0.3994 0.5568 0.7987
Mg2 Mg 0.6639 0.9404 0.3278
Mg3 Mg 0.8060 0.7241 0.6120
Mg4 Mg 0.9784 0.2231 0.9567
Mg5 Mg 0.1940 0.2759 0.3880
Mg6 Mg 0.3361 0.0596 0.6722
Mg7 Mg 0.6006 0.4432 0.2013
Mg8 Mg 0.0216 0.7769 0.0433
Zn1 Zn 0.8208 0.3148 0.6415
Zn2 Zn 0.1792 0.6852 0.3585
Au1 Au 0.5000 0.0000 0.0000
```

## MgZnAu (PBE)

Data for a relaxed MgZnAu crystal.

Energy relative to the elements = -0.32 eV per atom
Spin magnetization = 0.0000 μB per atom

The structure in CIF format:
```
data_MgZnAu
_cell_length_a 4.4300
_cell_length_b 4.4300
_cell_length_c 4.4300
_cell_angle_alpha 60.00
_cell_angle_beta 60.00
_cell_angle_gamma 60.00
_symmetry_space_group_name_H-M 'P 1'
_symmetry_Int_Tables_number 1
_symmetry_space_group_name_Hall 'P 1'
loop_
_atom_site_label
_atom_site_type_symbol
_atom_site_fract_x
_atom_site_fract_y
_atom_site_fract_z
Zn1 Zn 0.5000 0.5000 0.5000
Au1 Au 0.2500 0.2500 0.2500
Mg1 Mg 0.0000 0.0000 0.0000
```

## Mg2ZnAu (PBE)

Data for a relaxed Mg2ZnAu crystal.

Energy relative to the elements = -0.36 eV per atom
Spin magnetization = 0.0000 μB per atom

The structure in CIF format:
```
data_Mg2ZnAu
_cell_length_a 4.7087
_cell_length_b 4.7087
_cell_length_c 3.2239
_cell_angle_alpha 90.00
_cell_angle_beta 90.00
_cell_angle_gamma 89.94
_symmetry_space_group_name_H-M 'P 1'
_symmetry_Int_Tables_number 1
_symmetry_space_group_name_Hall 'P 1'
loop_
_atom_site_label
_atom_site_type_symbol
_atom_site_fract_x
_atom_site_fract_y
_atom_site_fract_z
Zn1 Zn 0.5000 0.0000 0.5000
Au1 Au 0.0000 0.5000 0.5000
Mg1 Mg 0.0000 0.0000 0.0000
Mg2 Mg 0.5000 0.5000 0.0000
```

## Mg3Zn3Au2 (PBE)

Data for a relaxed Mg3Zn3Au2 crystal.

Energy relative to the elements = -0.32 eV per atom
Spin magnetization = 0.0000 μB per atom

The structure in CIF format:
```
data_Mg3Zn3Au2
_cell_length_a 3.2525
_cell_length_b 5.4030
_cell_length_c 17.2205
_cell_angle_alpha 90.00
_cell_angle_beta 90.00
_cell_angle_gamma 107.52
_symmetry_space_group_name_H-M 'P 1'
_symmetry_Int_Tables_number 1
_symmetry_space_group_name_Hall 'P 1'
loop_
_atom_site_label
_atom_site_type_symbol
_atom_site_fract_x
_atom_site_fract_y
_atom_site_fract_z
Mg1 Mg 0.9643 0.9287 0.3811
Mg2 Mg 0.0357 0.0713 0.8811
Mg3 Mg 0.9643 0.9287 0.1189
Mg4 Mg 0.0357 0.0713 0.6189
Mg5 Mg 0.6518 0.3035 0.2500
Mg6 Mg 0.3482 0.6965 0.7500
Zn1 Zn 0.6315 0.2630 0.4856
Zn2 Zn 0.3685 0.7370 0.9856
Zn3 Zn 0.6315 0.2630 0.0144
Zn4 Zn 0.3685 0.7370 0.5144
Zn5 Zn 0.3851 0.7701 0.2500
Zn6 Zn 0.6149 0.2299 0.7500
Au1 Au 0.7623 0.5246 0.8765
Au2 Au 0.2377 0.4754 0.3765
Au3 Au 0.7623 0.5246 0.6235
Au4 Au 0.2377 0.4754 0.1235
```

## Mg2Zn3Au2 (PBE)

Data for a relaxed Mg2Zn3Au2 crystal.

Energy relative to the elements = -0.23 eV per atom
Spin magnetization = 0.0000 μB per atom

The structure in CIF format:
```
data_Mg2Zn3Au2
_cell_length_a 3.2179
_cell_length_b 6.5557
_cell_length_c 6.9100
_cell_angle_alpha 116.40
_cell_angle_beta 103.46
_cell_angle_gamma 90.00
_symmetry_space_group_name_H-M 'P 1'
_symmetry_Int_Tables_number 1
_symmetry_space_group_name_Hall 'P 1'
loop_
_atom_site_label
_atom_site_type_symbol
_atom_site_fract_x
_atom_site_fract_y
_atom_site_fract_z
Mg1 Mg 0.1364 0.9832 0.2728
Mg2 Mg 0.8636 0.0168 0.7272
Zn1 Zn 0.0000 0.5000 0.0000
Zn2 Zn 0.7893 0.3766 0.5786
Zn3 Zn 0.2107 0.6234 0.4214
Au1 Au 0.4323 0.7479 0.8645
Au2 Au 0.5677 0.2521 0.1355
```

## Mg2ZnAu4 (PBE)

Data for a relaxed Mg2ZnAu4 crystal.

Energy relative to the elements = -0.02 eV per atom
Spin magnetization = 0.0000 μB per atom

The structure in CIF format:
```
data_Mg2ZnAu4
_cell_length_a 4.8445
_cell_length_b 4.8445
_cell_length_c 7.6157
_cell_angle_alpha 71.45
_cell_angle_beta 71.45
_cell_angle_gamma 90.00
_symmetry_space_group_name_H-M 'P 1'
_symmetry_Int_Tables_number 1
_symmetry_space_group_name_Hall 'P 1'
loop_
_atom_site_label
_atom_site_type_symbol
_atom_site_fract_x
_atom_site_fract_y
_atom_site_fract_z
Zn1 Zn 0.0000 0.0000 0.0000
Au1 Au 0.1901 0.1901 0.6199
Au2 Au 0.8099 0.8099 0.3801
Au3 Au 0.0000 0.5000 0.0000
Au4 Au 0.5000 0.0000 0.0000
Mg1 Mg 0.3808 0.3808 0.2383
Mg2 Mg 0.6192 0.6192 0.7617
```